## 1
Below is a geometry-optimized Cs2In2Pt structure, with properties calculated at the PBE level.

Lattice parameters (Å, degrees): 12.0409 12.0409 12.0409 22.58 22.58 22.58
Fractional coordinates of all 5 atoms:
Cs1 0.0693 0.0693 0.0693
Cs2 0.9307 0.9307 0.9307
In1 0.1866 0.1866 0.1866
In2 0.8134 0.8134 0.8134
Pt1 0.5000 0.5000 0.5000

Computed properties:
Crystal system   trigonal

## 2
Below is a geometry-optimized Cs2In2Pt structure, with properties calculated at the PBE level.

Lattice parameters (Å, degrees): 7.3110 7.3110 6.5833 90.00 90.00 90.00
Fractional coordinates of all 10 atoms:
Cs1 0.1837 0.3163 0.0000
Cs2 0.3163 0.8163 0.0000
Cs3 0.6837 0.1837 0.0000
Cs4 0.8163 0.6837 0.0000
In1 0.1564 0.6564 0.5000
In2 0.3436 0.1564 0.5000
In3 0.6564 0.8436 0.5000
In4 0.8436 0.3436 0.5000
Pt1 0.0000 0.0000 0.5000
Pt2 0.5000 0.5000 0.5000

Computed properties:
Crystal system   tetragonal

Which is most stable, and by how much? 1, by 180 meV/atom.